Here is an optimized crystal structure of V2ZnOs from Alexandria via LeMat-Bulk. Energies are from PBE-GGA.

- density of states at the Fermi level (states/eV per atom) = 1.0089
- electronic total energy (eV per atom) = -7.2389
- size of the total moment (μB/f.u.) = 0.00
- E_form (eV per atom) = 0.4463

Unit cell a=6.9753 b=6.9753 c=5.1175 alpha=90.00 beta=90.00 gamma=90.00
With the nearest neighbours (Å) after each atom.
Space group I-42d (No. 122)
Asymmetric unit:
1 V 0.2145 0.2500 0.1250 x8  2 Os 2.39, 2 V 2.61
2 Zn 0.0000 0.0000 0.5000 x4  2 Os 2.56, 4 V 2.72
3 Os 0.0000 0.0000 0.0000 x4  4 V 2.39, 2 Zn 2.56